Density functional theory data (PBE) for a relaxed structure of Pr5DyY.

a b c (Å): 9.008 9.008 11.011
angles (deg): 123.26 123.26 43.89
Fractional positions:
Pr 0.011 0.989 0.750
Pr 0.080 0.576 0.911
Pr 0.159 0.658 0.406
Pr 0.342 0.841 0.094
Pr 0.424 0.920 0.589
Pr 0.576 0.080 0.411
Pr 0.658 0.159 0.906
Pr 0.841 0.342 0.594
Pr 0.920 0.424 0.089
Pr 0.989 0.011 0.250
Dy 0.000 0.500 0.500
Dy 0.500 0.000 0.000
Y 0.487 0.513 0.750
Y 0.513 0.487 0.250

Calculated values
D(E_F) in states/eV/f.u.: 10.25
ΔH_f (0 K) in kJ/mol of atoms: 14.1
Total DFT energy (no corrections) in eV/atom: -4.848
Symmetry: C2/c (15)
Distance to the lowest polymorph of the same formula in meV per atom: 0
Size of the total moment in μB/cell: 0.0

---

Density functional theory data (PBE) for a relaxed structure of PrDy3Y4.

a b c (Å): 3.584 10.101 7.152
angles (deg): 90.00 90.06 90.00
Fractional positions:
Pr 0.000 0.000 0.000
Dy 0.000 0.000 0.500
Dy 0.000 0.500 0.000
Dy 0.000 0.500 0.500
Y 0.500 0.252 0.252
Y 0.500 0.252 0.748
Y 0.500 0.748 0.252
Y 0.500 0.748 0.748

Calculated values
D(E_F) in states/eV/f.u.: 11.90
ΔH_f (0 K) in kJ/mol of atoms: 2.2
Total DFT energy (no corrections) in eV/atom: -5.533
Symmetry: P2/m (10)
Distance to the lowest polymorph of the same formula in meV per atom: 13
Size of the total moment in μB/cell: 0.0

---

Density functional theory data (PBE) for a relaxed structure of Pr3Dy6Y.

a b c (Å): 6.683 6.683 9.809
angles (deg): 111.89 111.89 59.34
Fractional positions:
Pr 0.000 0.000 0.000
Pr 0.072 0.072 0.702
Pr 0.928 0.928 0.298
Dy 0.070 0.560 0.687
Dy 0.365 0.365 0.079
Dy 0.440 0.930 0.313
Dy 0.560 0.070 0.687
Dy 0.635 0.635 0.921
Dy 0.930 0.440 0.313
Y 0.500 0.500 0.500

Calculated values
D(E_F) in states/eV/f.u.: 18.49
ΔH_f (0 K) in kJ/mol of atoms: 21.5
Total DFT energy (no corrections) in eV/atom: -4.619
Symmetry: C2/m (12)
Distance to the lowest polymorph of the same formula in meV per atom: 72
Size of the total moment in μB/cell: 0.0